# RbErGeTe3

A geometry-optimized RbErGeTe3 structure (PBE, OQMD via LeMat-Bulk).

```
RbErGeTe3
1.0
9.475 0.000 0.000
0.000 4.295 0.000
-4.303 0.000 11.075
Er Ge Rb Te
2 2 2 6
direct
0.632 0.750 0.158
0.368 0.250 0.842
0.882 0.250 0.446
0.118 0.750 0.554
0.228 0.750 0.278
0.772 0.250 0.722
0.390 0.250 0.104
0.883 0.250 0.219
0.674 0.750 0.429
0.326 0.250 0.571
0.117 0.750 0.781
0.610 0.750 0.896
```

Results
Crystal system   monoclinic
Relative energy among the computed polymorphs   0 meV per atom
Total energy   -4.20 eV/atom



# Gd3Tl5Pb2

A geometry-optimized Gd3Tl5Pb2 structure (PBE, OQMD via LeMat-Bulk).

```
Gd3Tl5Pb2
1.0
-2.933 12.209 1.001
-1.747 -12.454 -0.711
0.311 -0.315 4.752
Gd Pb Tl
3 2 5
direct
0.000 0.000 0.000
0.810 0.190 0.000
0.190 0.810 0.000
0.598 0.402 0.000
0.402 0.598 0.000
0.901 0.099 0.500
0.707 0.293 0.500
0.500 0.500 0.500
0.293 0.707 0.500
0.099 0.901 0.500
```

Results
Crystal system   orthorhombic
Relative energy among the computed polymorphs   29 meV per atom
Total energy   -3.62 eV/atom



- Which formula does entry 2 have?
  Gd3Tl5Pb2



- What is the formula in the first record?
  RbErGeTe3



- Which formula does entry 1 have?
  RbErGeTe3



What did the first record say?
# RbErGeTe3

A geometry-optimized RbErGeTe3 structure (PBE, OQMD via LeMat-Bulk).

```
RbErGeTe3
1.0
9.475 0.000 0.000
0.000 4.295 0.000
-4.303 0.000 11.075
Er Ge Rb Te
2 2 2 6
direct
0.632 0.750 0.158
0.368 0.250 0.842
0.882 0.250 0.446
0.118 0.750 0.554
0.228 0.750 0.278
0.772 0.250 0.722
0.390 0.250 0.104
0.883 0.250 0.219
0.674 0.750 0.429
0.326 0.250 0.571
0.117 0.750 0.781
0.610 0.750 0.896
```

Results
Crystal system   monoclinic
Relative energy among the computed polymorphs   0 meV per atom
Total energy   -4.20 eV/atom